VASP calculation (GGA+U) on Ir2WNF after structural relaxation.

Values from the calculation:
Spin magnetization ... 1.0 μB/cell
Raw total energy ... -25.85 eV for the cell shown

Structure (extended XYZ):
```
5
Lattice="3.991 0.000 0.000 0.000 3.991 0.000 0.000 0.000 4.615" Properties=species:S:1:pos:R:3 pbc="T T T"
Ir 0.000 1.995 0.000
Ir 1.995 0.000 0.000
W 0.000 0.000 2.307
N 1.995 1.995 2.307
F 1.995 1.995 0.000
```